Record 1
First-principles (PBE-GGA) data for a relaxed SmErCd4 crystal, as listed in OQMD.

abc: 4.970 6.909 8.573
angles: 90.00 90.00 90.00
Space group Imm2 (No. 44)
Symmetry-distinct sites (fractional):
Sm  0.000  0.000  0.000 [2 per cell]
Er  0.000  0.500  0.997 [2 per cell]
Cd  0.000  0.242  0.665 [4 per cell]
Cd  0.000  0.252  0.331 [4 per cell]

Properties
**Theoretical density**: 8.658 g cm⁻³
**Total DFT energy (no corrections)**: -14.82 eV per formula unit
**Magnetization**: 0.01 μB/f.u.



Record 2
First-principles (PBE-GGA) data for a relaxed GdTlZnSe3 crystal, as listed in OQMD.

abc: 8.395 4.143 10.634
angles: 90.00 108.81 90.00
Space group P2_1/m (No. 11)
Symmetry-distinct sites (fractional):
Gd  0.191  0.250  0.139 [2 per cell]
Tl  0.232  0.750  0.712 [2 per cell]
Zn  0.424  0.750  0.392 [2 per cell]
Se  0.049  0.250  0.857 [2 per cell]
Se  0.278  0.250  0.440 [2 per cell]
Se  0.440  0.750  0.165 [2 per cell]

Properties
**Polymorph energy (0 for the lowest one)**: 21.1 meV per atom
**Theoretical density**: 6.299 g cm⁻³
**Total DFT energy (no corrections)**: -25.45 eV per formula unit
**Magnetization**: 0.00 μB/f.u.



Record 3
First-principles (PBE-GGA) data for a relaxed ErSiTe crystal, as listed in OQMD.

abc: 6.849 6.849 6.849
angles: 90.00 90.00 90.00
Space group F-43m (No. 216)
Symmetry-distinct sites (fractional):
Er  0.000  0.000  0.000 [4 per cell]
Si  0.250  0.250  0.250 [4 per cell]
Te  0.000  0.000  0.500 [4 per cell]

Properties
**Theoretical density**: 6.678 g cm⁻³
**Total DFT energy (no corrections)**: -13.40 eV per formula unit
**Magnetization**: 0.08 μB/f.u.



Repeat the first record exactly.
First-principles (PBE-GGA) data for a relaxed SmErCd4 crystal, as listed in OQMD.

abc: 4.970 6.909 8.573
angles: 90.00 90.00 90.00
Space group Imm2 (No. 44)
Symmetry-distinct sites (fractional):
Sm  0.000  0.000  0.000 [2 per cell]
Er  0.000  0.500  0.997 [2 per cell]
Cd  0.000  0.242  0.665 [4 per cell]
Cd  0.000  0.252  0.331 [4 per cell]

Properties
**Theoretical density**: 8.658 g cm⁻³
**Total DFT energy (no corrections)**: -14.82 eV per formula unit
**Magnetization**: 0.01 μB/f.u.